(1)
NbW2C2 (PBE-GGA, relaxed); calculated total energy = -0.7729 Ry per atom; crystal system = tetragonal; ΔE to the lowest computed polymorph = 0 meV per atom; size of the total moment = 0.000 μB per atom; N(E_F) = 2.059 states/eV/f.u.
1.0
6.2497 0.0000 0.0000
0.0000 6.2497 0.0000
0.0000 0.0000 2.9861
W C Nb
4 4 2
direct
0.8515 0.3515 0.5000
0.6485 0.8515 0.5000
0.3515 0.1485 0.5000
0.1485 0.6485 0.5000
0.1508 0.3492 0.0000
0.3492 0.8492 0.0000
0.6508 0.1508 0.0000
0.8492 0.6508 0.0000
0.0000 0.0000 0.0000
0.5000 0.5000 0.0000


(2)
NbW2C (PBE-GGA, relaxed); calculated total energy = -0.7921 Ry per atom; crystal system = trigonal; size of the total moment = 0.000 μB per atom; N(E_F) = 3.195 states/eV/f.u.
1.0
-0.5738 -0.0396 2.9162
2.1388 -0.7437 1.9255
2.6748 7.2937 2.1401
Nb W C
1 2 1
direct
0.0000 0.0000 0.0000
0.8864 0.8864 0.3408
0.1136 0.1136 0.6592
0.5000 0.5000 0.5000


(3)
NbWC (PBE-GGA, relaxed); calculated total energy = -0.8001 Ry per atom; crystal system = monoclinic; ΔE to the lowest computed polymorph = 133 meV per atom; size of the total moment = 0.000 μB per atom; N(E_F) = 1.951 states/eV/f.u.
1.0
4.6673 0.0000 0.0071
0.0000 3.0748 0.0000
-0.4659 0.0000 11.4005
Nb W C
4 4 4
direct
0.1185 0.0000 0.7405
0.6179 0.5000 0.8900
0.6179 0.0000 0.3900
0.1185 0.5000 0.2405
0.1395 0.0000 0.9989
0.1395 0.5000 0.4989
0.6204 0.0000 0.1306
0.6204 0.5000 0.6306
0.8901 0.5000 0.0577
0.8901 0.0000 0.5577
0.6066 0.5000 0.2589
0.6066 0.0000 0.7589


(4)
NbW3C (PBE-GGA, relaxed); calculated total energy = -0.8447 Ry per atom; crystal system = cubic; ΔE to the lowest computed polymorph = 0 meV per atom; size of the total moment = 0.000 μB per atom; N(E_F) = 3.183 states/eV/f.u.
1.0
-0.5285 0.8744 -4.0784
0.1909 -4.1016 -0.9041
-4.1667 -0.2988 0.4759
W Nb C
3 1 1
direct
0.0000 0.5000 0.0000
0.5000 0.0000 0.0000
0.0000 0.0000 0.5000
0.5000 0.5000 0.5000
0.0000 0.0000 0.0000


(5)
NbWC2 (PBE-GGA, relaxed); calculated total energy = -0.7413 Ry per atom; crystal system = tetragonal; ΔE to the lowest computed polymorph = 410 meV per atom; size of the total moment = 0.000 μB per atom; N(E_F) = 2.662 states/eV/f.u.
1.0
-3.6220 2.7968 -1.3678
0.2555 -1.8242 -4.4067
-4.7959 -2.9395 -1.6495
C Nb W
4 2 2
direct
0.6413 0.1250 0.2500
0.1087 0.6250 0.2500
0.8750 0.8913 0.7500
0.3750 0.3587 0.7500
0.2500 0.7500 0.5000
0.5000 0.5000 0.0000
0.7500 0.2500 0.5000
0.0000 0.0000 0.0000


(6)
NbWC (PBE-GGA, relaxed); calculated total energy = -0.7811 Ry per atom; crystal system = orthorhombic; ΔE to the lowest computed polymorph = 391 meV per atom; size of the total moment = 0.000 μB per atom; N(E_F) = 1.193 states/eV/f.u.
1.0
3.0019 0.0000 0.0000
0.0000 5.1255 0.0000
-1.5009 -2.5627 5.1029
C Nb W
2 2 2
direct
0.8677 0.3677 0.7354
0.1323 0.6323 0.2646
0.5000 0.2529 0.0000
0.5000 0.7471 0.0000
0.2257 0.2257 0.4514
0.7743 0.7743 0.5486


The lowest N(E_F) belongs to which entry? number 6


What is the formula in the first record? NbW2C2